SrGdGaSn after structural relaxation, computed with GGA-PBE.

```
4
Lattice="5.4336 0.0000 0.0000 2.7168 4.7056 0.0000 2.7168 1.5685 4.4365" Properties=species:S:1:pos:R:3 pbc="T T T"
Sn 8.1504 4.7056 3.3274
Gd 0.0000 0.0000 0.0000
Ga 2.7168 1.5685 1.1091
Sr 5.4336 3.1371 2.2183
```

Properties
formation energy from the elements = -1.92 eV per formula unit
uncorrected energy = -0.4541 Ry per atom

***

GdThGaSn after structural relaxation, computed with GGA-PBE.

```
4
Lattice="-4.6360 -0.2108 2.6168 -0.2394 -2.2634 4.8171 -0.7567 3.0164 4.3259" Properties=species:S:1:pos:R:3 pbc="T T T"
Th 0.0000 0.0000 0.0000
Gd -2.8160 0.2711 5.8799
Sn -1.4080 0.1356 2.9400
Ga -4.2240 0.4067 8.8199
```

Properties
formation energy from the elements = -1.80 eV per formula unit
uncorrected energy = -0.5573 Ry per atom

***

SrGdGa2 after structural relaxation, computed with GGA-PBE.

```
4
Lattice="3.7357 0.0000 0.0000 0.0000 3.7357 0.0000 0.0000 0.0000 7.5617" Properties=species:S:1:pos:R:3 pbc="T T T"
Sr 1.8679 1.8679 3.7809
Ga 0.0000 0.0000 1.6816
Ga 0.0000 0.0000 5.8801
Gd 1.8679 1.8679 0.0000
```

Properties
formation energy from the elements = -1.88 eV per formula unit
uncorrected energy = -0.4354 Ry per atom

***

SrGd2Ga after structural relaxation, computed with GGA-PBE.

```
4
Lattice="-2.9994 1.9296 1.0868 -1.1114 -0.1287 3.5566 5.2650 9.5635 3.9455" Properties=species:S:1:pos:R:3 pbc="T T T"
Sr 0.0000 0.0000 0.0000
Gd 3.1572 6.7161 3.1838
Gd -2.0029 4.6483 5.4051
Ga 0.5771 5.6822 4.2944
```

Properties
formation energy from the elements = -0.07 eV per formula unit
relative energy among the computed polymorphs = 192.0 meV per atom
uncorrected energy = -0.6053 Ry per atom